1.
Here is a relaxed Ac2Dy2Tl3 crystal from Alexandria via LeMat-Bulk. Energies are from GGA-PBE.

```
Ac2Dy2Tl3
1.0
2.317 -13.338 0.000
2.317 13.338 0.000
0.000 0.000 3.683
Ac Dy Tl
2 2 3
Direct
0.076 0.924 0.000
0.924 0.076 0.000
0.205 0.795 0.000
0.795 0.205 0.000
0.340 0.660 0.500
0.500 0.500 0.500
0.660 0.340 0.500
```

Properties
ΔE_f   -0.1999 eV per atom

2.
Here is a relaxed Ac2SiNi6B crystal from Alexandria via LeMat-Bulk. Energies are from GGA-PBE.

```
Ac2SiNi6B
1.0
5.021 -2.900 0.000
5.021 2.900 0.000
-3.341 0.000 5.406
Ac Si Ni B
2 1 6 1
Direct
0.216 0.216 0.148
0.784 0.784 0.852
0.500 0.500 0.000
0.238 0.238 0.655
0.238 0.679 0.655
0.321 0.762 0.345
0.679 0.238 0.655
0.762 0.321 0.345
0.762 0.762 0.345
0.000 0.000 0.500
```

Properties
Formation energy (no corrections)   -0.407 eV per atom

3.
Here is a relaxed CuIF crystal from Alexandria via LeMat-Bulk. Energies are from GGA-PBE.

```
CuIF
1.0
-2.165 2.165 3.468
2.165 -2.165 3.468
2.165 2.165 -3.468
Cu I F
1 1 1
Direct
0.000 0.000 0.000
0.359 0.359 0.000
0.737 0.737 0.000
```

Properties
Formation energy (no corrections)   -0.459 eV per atom

4.
Here is a relaxed Mg2ZrAl crystal from Alexandria via LeMat-Bulk. Energies are from GGA-PBE.

```
Mg2ZrAl
1.0
3.102 0.000 0.000
0.000 4.510 0.000
-1.533 0.000 5.999
Mg Zr Al
2 1 1
Direct
0.000 0.000 0.000
0.387 0.500 0.772
0.651 0.500 0.299
0.244 0.000 0.485
```

Properties
ΔE_f   -0.0960 eV per atom